Entry 1:
Compound: CuP3C
Source: Alexandria
Functional: PBE
Structure: optimized geometry

Summary:
**Relative energy among the computed polymorphs**: 916 meV/atom
**Formation enthalpy at 0 K**: 2.096 eV/atom
**Size of the total moment**: 0.00 μB per atom
**Final energy**: -3.814 eV/atom

Cell: 4.410 4.410 4.410 Å, 90.00 90.00 90.00°
Fractional coordinates of all 5 atoms:
P (0.000, 0.500, 0.000)
P (0.000, 0.000, 0.500)
P (0.500, 0.000, 0.000)
C (0.500, 0.500, 0.500)
Cu (0.000, 0.000, 0.000)

---

Entry 2:
Compound: La6Mg5Ge
Source: Alexandria
Functional: PBE
Structure: optimized geometry

Summary:
**Formation enthalpy at 0 K**: -0.221 eV/atom
**Size of the total moment**: 0.00 μB per atom
**Final energy**: -3.734 eV/atom

Cell: 5.531 7.820 8.790 Å, 90.00 71.66 90.00°
Fractional coordinates of all 12 atoms:
Mg (0.669, 0.500, 0.662)
Mg (0.323, 0.000, 0.354)
Mg (0.000, 0.500, 0.000)
Mg (0.677, 0.000, 0.646)
Mg (0.331, 0.500, 0.338)
Ge (0.000, 0.000, 0.000)
La (0.841, 0.757, 0.317)
La (0.841, 0.243, 0.317)
La (0.500, 0.233, 0.000)
La (0.500, 0.767, 0.000)
La (0.159, 0.757, 0.683)
La (0.159, 0.243, 0.683)

---

Entry 3:
Compound: GaIN2O
Source: Alexandria
Functional: PBE
Structure: optimized geometry

Summary:
**Formation energy (no corrections)**: 1.42 eV/atom
**Size of the total moment**: 0.45 μB per atom
**Final energy**: -3.818 eV/atom

Cell: 3.669 3.669 7.758 Å, 90.00 90.00 90.00°
Last column: magnetic moment on the atom in μB.
Fractional coordinates of all 5 atoms:
I (0.000, 0.000, 0.500)  0.01
O (0.500, 0.500, 0.500)  0.04
Ga (0.000, 0.000, 0.000)  0.00
N (0.000, 0.500, 0.000)  0.78
N (0.500, 0.000, 0.000)  0.78

---

Entry 4:
Compound: AcHg2RuO6
Source: Alexandria
Functional: PBE
Structure: optimized geometry

Summary:
**Formation energy (no corrections)**: -1.22 eV/atom
**Size of the total moment**: 0.28 μB per atom
**Final energy**: -5.592 eV/atom

Cell: 5.808 5.809 6.269 Å, 62.40 62.40 60.00°
Last column: magnetic moment on the atom in μB.
Fractional coordinates of all 10 atoms:
Ac (0.816, 0.816, 0.552)  0.02
Hg (0.584, 0.584, 0.248)  0.04
Hg (0.048, 0.048, 0.855)  0.04
Ru (0.316, 0.316, 0.051)  1.78
O (0.536, 0.215, 0.267)  0.10
O (0.215, 0.982, 0.267)  0.10
O (0.982, 0.537, 0.267)  0.10
O (0.417, 0.650, 0.836)  0.10
O (0.650, 0.096, 0.836)  0.10
O (0.096, 0.417, 0.836)  0.10